This record from Alexandria describes a relaxed Ca2Zn5Pt3 crystal. The functional is GGA-PBE.

```
Ca2Zn5Pt3
1.0
-1.2757 4.7224 2.8728
-8.5083 -0.1862 2.0951
3.1336 -0.7264 8.1528
Zn Pt Ca
10 6 4
Direct
0.7500 0.1975 0.8025
0.8174 0.2633 0.1036
0.7500 0.4999 0.5001
0.2500 0.1975 0.8025
0.2500 0.8025 0.1975
0.1826 0.7367 0.8964
0.3174 0.1036 0.2633
0.7500 0.8025 0.1975
0.2500 0.5001 0.4999
0.6826 0.8964 0.7367
0.9097 0.7450 0.4364
0.2500 0.0001 0.9999
0.0903 0.2550 0.5636
0.7500 0.9999 0.0001
0.4097 0.4364 0.7450
0.5903 0.5636 0.2550
0.2823 0.8700 0.5657
0.7823 0.5657 0.8700
0.7177 0.1300 0.4343
0.2177 0.4343 0.1300
```

ΔH_f (0 K): -14.11 kcal/mol of atoms
SG: No. 15

=====

This record from Alexandria describes a relaxed Ca2Zn2Pt crystal. The functional is GGA-PBE.

```
Ca2Zn2Pt
1.0
-3.2623 -4.4593 -1.4715
4.6683 -3.2734 -0.4297
0.3782 -4.7926 2.5765
Zn Pt Ca
2 1 2
Direct
0.3396 0.3396 0.3208
0.6604 0.6604 0.6792
0.0000 0.0000 0.0000
0.7500 0.2500 0.5000
0.2500 0.7500 0.5000
```

ΔH_f (0 K): -6.77 kcal/mol of atoms
SG: No. 139

=====

This record from Alexandria describes a relaxed Ca2ZnPt crystal. The functional is GGA-PBE.

```
Ca2ZnPt
1.0
5.5922 0.0496 0.0000
2.1536 5.1611 0.0000
-3.8729 -2.6053 3.0802
Ca Pt Zn
2 1 1
Direct
0.2500 0.7500 0.5000
0.0000 0.0000 0.0000
0.5000 0.5000 0.0000
0.7500 0.2500 0.5000
```

ΔH_f (0 K): -9.97 kcal/mol of atoms
SG: No. 119

=====

This record from Alexandria describes a relaxed Ca2ZnPt crystal. The functional is GGA-PBE.

```
Ca2ZnPt
1.0
-1.0109 -1.7997 -7.6350
7.7672 0.8465 -1.2280
3.8366 -3.6771 -3.7378
Zn Ca Pt
2 4 2
Direct
0.5000 0.5000 0.0000
0.2500 0.7500 0.5000
0.6514 0.1250 0.2500
0.0986 0.6250 0.2500
0.3750 0.3486 0.7500
0.8750 0.9014 0.7500
0.0000 0.0000 0.0000
0.7500 0.2500 0.5000
```

ΔH_f (0 K): -5.99 kcal/mol of atoms
SG: No. 122

=====

This record from Alexandria describes a relaxed Ca3ZnPt8 crystal. The functional is GGA-PBE.

```
Ca3ZnPt8
1.0
-3.8451 -2.7679 2.6217
-1.7323 -4.7426 -1.9561
4.3298 -6.6864 4.8827
Pt Ca Zn
8 3 1
Direct
0.5622 0.5622 0.8123
0.0633 0.5622 0.8123
0.3119 0.3119 0.0643
0.8112 0.8112 0.5663
0.0622 0.0622 0.3172
0.5622 0.0633 0.8123
0.5584 0.0622 0.3172
0.0622 0.5584 0.3172
0.6243 0.6243 0.1270
0.4954 0.4954 0.5139
0.0070 0.0070 0.9789
0.1297 0.1297 0.6110
```

ΔH_f (0 K): -17.90 kcal/mol of atoms
SG: No. 160

=====

This record from Alexandria describes a relaxed CaZn2Pt crystal. The functional is GGA-PBE.

```
CaZn2Pt
1.0
-0.2010 -3.4226 2.9983
-2.5623 -2.3950 -2.9057
5.9786 -6.4616 -3.5158
Pt Zn Ca
2 4 2
Direct
0.7500 0.2500 0.5000
0.0000 0.0000 0.0000
0.3750 0.2039 0.7500
0.8750 0.0461 0.7500
0.7961 0.1250 0.2500
0.9539 0.6250 0.2500
0.2500 0.7500 0.5000
0.5000 0.5000 0.0000
```

ΔH_f (0 K): -7.99 kcal/mol of atoms
SG: No. 122